An optimized crystal structure of TbAg2Pd9. Source: Alexandria, functional PBE.

CIF file:
```
data_TbAg2Pd9
_chemical_formula_sum 'Tb1 Ag2 Pd9'
_cell_length_a 4.057
_cell_length_b 4.057
_cell_length_c 12.061
_cell_angle_alpha 90.00
_cell_angle_beta 90.00
_cell_angle_gamma 90.00
_space_group_name_H-M_alt 'P 1'
_space_group_IT_number 1
loop_
_space_group_symop_operation_xyz
'x,y,z'
loop_
_atom_site_label
_atom_site_fract_x
_atom_site_fract_y
_atom_site_fract_z
_atom_site_occupancy
Tb1 0.000 0.000 0.000 1
Ag1 0.000 0.000 0.338 1
Ag2 0.000 0.000 0.662 1
Pd1 0.000 0.500 0.174 1
Pd2 0.000 0.500 0.500 1
Pd3 0.000 0.500 0.826 1
Pd4 0.500 0.000 0.174 1
Pd5 0.500 0.000 0.500 1
Pd6 0.500 0.000 0.826 1
Pd7 0.500 0.500 0.000 1
Pd8 0.500 0.500 0.336 1
Pd9 0.500 0.500 0.664 1
```

Summary:
The value obtained for the total energy is -0.1853 hartree per atom. As for the space-group type: P4/mmm (123). The formation energy comes out at -286 meV/atom.